i) # GGA-PBE LuThSc2, optimized geometry
data_LuThSc2
_cell_length_a 4.928
_cell_length_b 4.928
_cell_length_c 4.537
_cell_angle_alpha 90.00
_cell_angle_beta 90.00
_cell_angle_gamma 90.00
_symmetry_space_group_name_H-M 'P 4/m m m'
_symmetry_Int_Tables_number 123
_symmetry_space_group_name_Hall '-P 4 2'
loop_
_atom_site_label
_atom_site_fract_x
_atom_site_fract_y
_atom_site_fract_z
Lu1 0.000 0.000 0.000
Th1 0.500 0.500 0.000
Sc1 0.000 0.500 0.500
# Calculated volume (Å³/cell): 110.2

ii) # GGA-PBE LuThSc2, optimized geometry
data_LuThSc2
_cell_length_a 3.874
_cell_length_b 3.874
_cell_length_c 7.346
_cell_angle_alpha 90.00
_cell_angle_beta 90.00
_cell_angle_gamma 90.00
_symmetry_space_group_name_H-M 'P 4/m m m'
_symmetry_Int_Tables_number 123
_symmetry_space_group_name_Hall '-P 4 2'
loop_
_atom_site_label
_atom_site_fract_x
_atom_site_fract_y
_atom_site_fract_z
Lu1 0.000 0.000 0.000
Th1 0.000 0.000 0.500
Sc1 0.500 0.500 0.252
# Calculated volume (Å³/cell): 110.2

Q: Which of them is the least stable? A: ii).

i) # GGA-PBE LuSc2Ti, optimized geometry
data_LuSc2Ti
_cell_length_a 3.2184
_cell_length_b 3.2184
_cell_length_c 31.4761
_cell_angle_alpha 90.00
_cell_angle_beta 90.00
_cell_angle_gamma 120.00
_symmetry_space_group_name_H-M 'R -3 m'
_symmetry_Int_Tables_number 166
_symmetry_space_group_name_Hall '-R 3 2"'
loop_
_atom_site_label
_atom_site_fract_x
_atom_site_fract_y
_atom_site_fract_z
Lu1 0.0000 0.0000 0.0000
Sc1 0.0000 0.0000 0.2424
Ti1 0.0000 0.0000 0.5000
# Calculated volume (Å³/cell): 282.3

ii) # GGA-PBE LuSc2Ti, optimized geometry
data_LuSc2Ti
_cell_length_a 7.261
_cell_length_b 7.261
_cell_length_c 7.261
_cell_angle_alpha 90.00
_cell_angle_beta 90.00
_cell_angle_gamma 90.00
_symmetry_space_group_name_H-M 'F m -3 m'
_symmetry_Int_Tables_number 225
_symmetry_space_group_name_Hall '-F 4 2 3'
loop_
_atom_site_label
_atom_site_fract_x
_atom_site_fract_y
_atom_site_fract_z
Lu1 0.000 0.000 0.000
Sc1 0.250 0.250 0.250
Ti1 0.000 0.000 0.500
# Calculated volume (Å³/cell): 382.9

Q: Which of them is the least stable? A: ii).

i) # GGA-PBE Tm2LuSc, optimized geometry
data_Tm2LuSc
_cell_length_a 3.445
_cell_length_b 3.445
_cell_length_c 9.577
_cell_angle_alpha 90.00
_cell_angle_beta 90.00
_cell_angle_gamma 90.00
_symmetry_space_group_name_H-M 'P 4/m m m'
_symmetry_Int_Tables_number 123
_symmetry_space_group_name_Hall '-P 4 2'
loop_
_atom_site_label
_atom_site_fract_x
_atom_site_fract_y
_atom_site_fract_z
Tm1 0.000 0.000 0.242
Lu1 0.500 0.500 0.500
Sc1 0.500 0.500 0.000
# Calculated volume (Å³/cell): 113.7

ii) # GGA-PBE Tm2LuSc, optimized geometry
data_Tm2LuSc
_cell_length_a 7.720
_cell_length_b 7.720
_cell_length_c 7.720
_cell_angle_alpha 90.00
_cell_angle_beta 90.00
_cell_angle_gamma 90.00
_symmetry_space_group_name_H-M 'F m -3 m'
_symmetry_Int_Tables_number 225
_symmetry_space_group_name_Hall '-F 4 2 3'
loop_
_atom_site_label
_atom_site_fract_x
_atom_site_fract_y
_atom_site_fract_z
Tm1 0.250 0.250 0.250
Lu1 0.000 0.000 0.000
Sc1 0.000 0.000 0.500
# Calculated volume (Å³/cell): 460.1

Q: Which of them is the least stable? A: ii).